! ScAlCd | the Alexandria database | SCAN | single point on PBEsol structure; values from VASP
! Energy of formation from the pure elements (kcal/mol of atoms): -9.56
! Energy (eV per atom): -17.882
&SYSTEM
  ibrav = 0, nat = 3, ntyp = 3
/
ATOMIC_SPECIES
Sc 44.96 Sc.upf
Al 26.98 Al.upf
Cd 112.41 Cd.upf
CELL_PARAMETERS angstrom
4.593 0.000 0.000
-2.297 3.978 0.000
0.000 0.000 3.174
ATOMIC_POSITIONS angstrom
Sc 0.000 0.000 0.000
Al 2.297 1.326 1.587
Cd 0.000 2.652 1.587